BeOsO2F, relaxed, DFT PBE; crystal system = tetragonal
1.0
3.675 0.000 0.000
0.000 3.675 0.000
0.000 0.000 5.783
Be Os O F
1 1 2 1
Cartesian
0.000 0.000 0.000 Be
1.837 1.837 2.891 Os
0.000 1.837 2.891 O
1.837 0.000 2.891 O
1.837 1.837 0.000 F

=====

BePO2F, relaxed, DFT PBE; crystal system = tetragonal
1.0
4.321 0.000 0.000
0.000 4.321 0.000
0.000 0.000 3.318
Be P O F
1 1 2 1
Cartesian
0.000 0.000 0.000 Be
2.160 2.160 0.000 P
0.000 2.160 1.659 O
2.160 0.000 1.659 O
2.160 2.160 1.659 F

=====

BeP2OF, relaxed, DFT PBE; relative energy among the computed polymorphs = 1.077 eV/atom; crystal system = tetragonal
1.0
3.960 0.000 0.000
0.000 3.960 0.000
0.000 0.000 4.358
Be P O F
1 2 1 1
Cartesian
0.000 0.000 0.000 Be
0.000 1.980 2.179 P
1.980 0.000 2.179 P
1.980 1.980 0.000 O
1.980 1.980 2.179 F

=====

BePO2F, relaxed, DFT PBE; crystal system = tetragonal
1.0
3.475 0.000 0.000
0.000 3.475 0.000
0.000 0.000 4.505
Be P O F
1 1 2 1
Cartesian
0.000 0.000 0.000 Be
1.737 1.737 2.253 P
0.000 1.737 2.253 O
1.737 0.000 2.253 O
1.737 1.737 0.000 F

=====

BePO2F, relaxed, DFT PBE; crystal system = tetragonal
1.0
3.642 0.000 0.000
0.000 3.642 0.000
0.000 0.000 3.177
Be P O F
1 1 2 1
Cartesian
0.000 0.000 0.000 Be
1.821 1.821 1.588 P
0.000 1.821 0.000 O
1.821 0.000 0.000 O
0.000 0.000 1.588 F

=====

BePO2F, relaxed, DFT PBE; crystal system = tetragonal
1.0
3.253 0.000 0.000
0.000 3.253 0.000
0.000 0.000 4.921
Be P O F
1 1 2 1
Cartesian
0.000 0.000 0.000 Be
0.000 0.000 2.460 P
0.000 1.627 0.000 O
1.627 0.000 0.000 O
1.627 1.627 2.460 F

=====

BeP2OF, relaxed, DFT PBE; relative energy among the computed polymorphs = 0.000 eV/atom; crystal system = tetragonal
1.0
4.780 0.000 0.000
0.000 4.780 0.000
0.000 0.000 2.875
Be P O F
1 2 1 1
Cartesian
0.000 0.000 0.000 Be
0.000 2.390 0.000 P
2.390 0.000 0.000 P
0.000 0.000 1.437 O
2.390 2.390 1.437 F

=====

BeP2O6F, relaxed, DFT PBE; crystal system = monoclinic
1.0
4.857 -5.393 0.000
4.857 5.393 0.000
-1.836 0.000 4.400
Be P O F
2 4 12 2
Cartesian
3.480 2.817 3.300 Be
4.398 -2.817 1.100 Be
2.159 0.957 1.390 P
1.241 -0.957 3.590 P
6.638 0.957 0.810 P
5.720 -0.957 3.010 P
2.154 3.772 3.394 O
3.192 1.814 2.043 O
2.830 0.351 0.083 O
4.807 3.772 3.207 O
1.912 -0.351 2.283 O
5.605 1.814 0.157 O
2.274 -1.814 4.244 O
5.967 0.351 2.117 O
3.072 -3.772 1.193 O
5.049 -0.351 4.318 O
4.687 -1.814 2.357 O
5.725 -3.772 1.007 O
4.398 4.257 1.100 F
3.480 -4.257 3.300 F

=====

BePtO2F, relaxed, DFT PBE; crystal system = tetragonal
1.0
3.945 0.000 0.000
0.000 3.945 0.000
0.000 0.000 4.258
Be Pt O F
1 1 2 1
Cartesian
0.000 0.000 0.000 Be
1.972 1.972 2.129 Pt
0.000 1.972 2.129 O
1.972 0.000 2.129 O
1.972 1.972 0.000 F

=====

BePtO2F, relaxed, DFT PBE; crystal system = tetragonal
1.0
3.809 0.000 0.000
0.000 3.809 0.000
0.000 0.000 3.081
Be Pt O F
1 1 2 1
Cartesian
0.000 0.000 0.000 Be
1.904 1.904 1.541 Pt
0.000 1.904 0.000 O
1.904 0.000 0.000 O
0.000 0.000 1.541 F

=====

RbBeO2F, relaxed, DFT PBE; crystal system = tetragonal
1.0
3.542 0.000 0.000
0.000 3.542 0.000
0.000 0.000 5.315
Rb Be O F
1 1 2 1
Cartesian
0.000 0.000 0.000 Rb
1.771 1.771 2.657 Be
0.000 1.771 2.657 O
1.771 0.000 2.657 O
1.771 1.771 0.000 F

=====

Rb2BeOF6, relaxed, DFT PBE; crystal system = tetragonal
1.0
-3.089 3.089 4.060
3.089 -3.089 4.060
3.089 3.089 -4.060
Rb Be O F
2 1 1 6
Cartesian
3.089 0.000 2.030 Rb
0.000 3.089 2.030 Rb
0.000 0.000 0.000 Be
0.000 0.000 4.060 O
1.158 1.158 0.000 F
1.931 -1.931 4.060 F
0.000 0.000 2.406 F
0.000 0.000 5.714 F
-1.931 1.931 4.060 F
1.931 1.931 4.060 F

=====

RbBeO2F, relaxed, DFT PBE; crystal system = tetragonal
1.0
4.337 0.000 0.000
0.000 4.337 0.000
0.000 0.000 4.814
Rb Be O F
1 1 2 1
Cartesian
0.000 0.000 0.000 Rb
2.169 2.169 2.407 Be
0.000 2.169 0.000 O
2.169 0.000 0.000 O
0.000 0.000 2.407 F

=====

BeReO2F, relaxed, DFT PBE; crystal system = tetragonal
1.0
3.818 0.000 0.000
0.000 3.818 0.000
0.000 0.000 4.392
Be Re O F
1 1 2 1
Cartesian
0.000 0.000 0.000 Be
1.909 1.909 2.196 Re
0.000 1.909 2.196 O
1.909 0.000 2.196 O
1.909 1.909 0.000 F

=====

BeReO2F, relaxed, DFT PBE; crystal system = tetragonal
1.0
3.825 0.000 0.000
0.000 3.825 0.000
0.000 0.000 3.018
Be Re O F
1 1 2 1
Cartesian
0.000 0.000 0.000 Be
1.913 1.913 1.509 Re
0.000 1.913 0.000 O
1.913 0.000 0.000 O
0.000 0.000 1.509 F

=====

BeRhOF2, relaxed, DFT PBE; relative energy among the computed polymorphs = 0.000 eV/atom; crystal system = tetragonal
1.0
3.124 0.000 0.000
0.000 3.124 0.000
0.000 0.000 5.818
Be Rh O F
1 1 1 2
Cartesian
0.000 0.000 0.000 Be
1.562 1.562 2.909 Rh
0.000 0.000 2.909 O
0.000 1.562 0.000 F
1.562 0.000 0.000 F

=====

BeRhOF2, relaxed, DFT PBE; relative energy among the computed polymorphs = 1.090 eV/atom; crystal system = tetragonal
1.0
4.317 0.000 0.000
0.000 4.317 0.000
0.000 0.000 3.732
Be Rh O F
1 1 1 2
Cartesian
0.000 0.000 0.000 Be
2.158 2.158 1.866 Rh
2.158 2.158 0.000 O
0.000 2.158 1.866 F
2.158 0.000 1.866 F

=====

BeSO2F, relaxed, DFT PBE; crystal system = tetragonal
1.0
3.399 0.000 0.000
0.000 3.399 0.000
0.000 0.000 6.157
Be S O F
1 1 2 1
Cartesian
0.000 0.000 0.000 Be
1.700 1.700 3.079 S
0.000 1.700 3.079 O
1.700 0.000 3.079 O
1.700 1.700 0.000 F

=====

BeSO2F, relaxed, DFT PBE; crystal system = tetragonal
1.0
3.722 0.000 0.000
0.000 3.722 0.000
0.000 0.000 3.145
Be S O F
1 1 2 1
Cartesian
0.000 0.000 0.000 Be
1.861 1.861 1.572 S
0.000 1.861 0.000 O
1.861 0.000 0.000 O
0.000 0.000 1.572 F

=====

BeSbO2F, relaxed, DFT PBE; crystal system = tetragonal
1.0
4.097 0.000 0.000
0.000 4.097 0.000
0.000 0.000 4.337
Be Sb O F
1 1 2 1
Cartesian
0.000 0.000 0.000 Be
2.049 2.049 2.168 Sb
0.000 2.049 2.168 O
2.049 0.000 2.168 O
2.049 2.049 0.000 F

=====

Record order is preserved below.
Formation energy (no corrections): -1.32 4.89 4.89 -2.37 -5.18 -2.04 -0.49 -19.78 0.58 -4.01 -6.73 -18.98 3.93 -2.86 -4.20 -7.20 -1.75 0.19 -3.16 -2.67 eV per formula unit